--- a ---
# Ac4GaIr2, optimized geometry, DFT PBE-GGA
# ρ: 10.265 Mg/m³
# Spin magnetization: 0.000 μB per formula unit
data_Ac4GaIr2
_chemical_formula_sum 'Ac12 Ga3 Ir6'
_cell_length_a 5.1345
_cell_length_b 5.1345
_cell_length_c 28.9530
_cell_angle_alpha 90.00
_cell_angle_beta 90.00
_cell_angle_gamma 120.00
_space_group_name_H-M_alt 'R -3 m'
_space_group_IT_number 166
_space_group_name_Hall '-R 3 2"'
loop_
_atom_site_label
_atom_site_type_symbol
_atom_site_fract_x
_atom_site_fract_y
_atom_site_fract_z
_atom_site_occupancy
Ac1 Ac 0.0000 0.0000 0.1178 1
Ac2 Ac 0.0000 0.0000 0.2942 1
Ga1 Ga 0.0000 0.0000 0.5000 1
Ir1 Ir 0.0000 0.0000 0.4076 1



--- b ---
# Ac4GaIr2, optimized geometry, DFT PBE-GGA
# ρ: 9.648 Mg/m³
# Spin magnetization: 0.000 μB per formula unit
data_Ac4GaIr2
_chemical_formula_sum 'Ac16 Ga4 Ir8'
_cell_length_a 13.468
_cell_length_b 4.357
_cell_length_c 15.982
_cell_angle_alpha 90.00
_cell_angle_beta 90.00
_cell_angle_gamma 90.00
_space_group_name_H-M_alt 'P n m a'
_space_group_IT_number 62
_space_group_name_Hall '-P 2ac 2n'
loop_
_atom_site_label
_atom_site_type_symbol
_atom_site_fract_x
_atom_site_fract_y
_atom_site_fract_z
_atom_site_occupancy
Ac1 Ac 0.032 0.250 0.213 1
Ac2 Ac 0.088 0.750 0.428 1
Ac3 Ac 0.123 0.250 0.969 1
Ac4 Ac 0.203 0.250 0.661 1
Ga1 Ga 0.236 0.750 0.829 1
Ir1 Ir 0.058 0.750 0.614 1
Ir2 Ir 0.085 0.750 0.096 1



Referenced to the most stable arrangement, the calculated values in meV/atom are a 75; b 0.